# 1
VASP calculation (PBE) on an optimized crystal structure of TiGe3As.

Cell lengths 4.922, 4.922, 4.922 Å; angles 90.00, 90.00, 90.00 degrees
Space group Pm-3m (No. 221)
Unique sites:
Ti1 0.000 0.000 0.000
Ge1 0.000 0.000 0.500
As1 0.500 0.500 0.500

Values from the calculation:
The calculation puts the density of states at the Fermi level at 3.67 states/eV/cell. The value obtained for the relative energy among the computed polymorphs is 0 meV/atom. The volume comes out at 119.2 Å³ per cell. For the formation energy, the calculation gives 548.4 meV/atom. As for the total moment: 0.00 μB per cell.


# 2
VASP calculation (PBE) on an optimized crystal structure of Ti4Ge2As.

Cell lengths 4.505, 4.505, 13.763 Å; angles 90.00, 90.00, 90.00 degrees
Space group I4/mmm (No. 139)
Unique sites:
Ti1 0.000 0.000 0.177
Ti2 0.000 0.500 0.000
Ge1 0.000 0.000 0.364
As1 0.000 0.000 0.000

Values from the calculation:
The calculation puts the density of states at the Fermi level at 17.14 states/eV/cell. The volume comes out at 279.3 Å³ per cell. For the formation energy, the calculation gives 17.2 meV/atom. As for the total moment: 0.00 μB per cell.


| no. | calculated total energy (eV per atom) |
| --- | --- |
| 1 | -4.7309 |
| 2 | -6.4777 |